# 1
First-principles (PBE) data for a relaxed DyHo2Ga9 crystal, as listed in Alexandria.

Cell: 4.2636 4.2636 12.7882 Å, 90.00 90.00 90.00°
Closest atoms and distances in Å follow each position.
Fractional positions:
Dy: 0.0000 0.0000 0.0000  12 Ga 3.01-3.02
Ho: 0.0000 0.0000 0.3336  12 Ga 3.01
Ho: 0.0000 0.0000 0.6664  12 Ga 3.01
Ga: 0.5000 0.5000 0.0000  4 Dy 3.01, 8 Ga 3.02
Ga: 0.5000 0.5000 0.3334  8 Ga 3.01, 4 Ho 3.01
Ga: 0.5000 0.5000 0.6666  8 Ga 3.01, 4 Ho 3.01
Ga: 0.5000 0.0000 0.1672  8 Ga 3.01-3.02, 2 Ho 3.01, 2 Dy 3.02
Ga: 0.5000 0.0000 0.5000  4 Ho 3.01, 8 Ga 3.01
Ga: 0.5000 0.0000 0.8328  8 Ga 3.01-3.02, 2 Ho 3.01, 2 Dy 3.02
Ga: 0.0000 0.5000 0.1672  8 Ga 3.01-3.02, 2 Ho 3.01, 2 Dy 3.02
Ga: 0.0000 0.5000 0.5000  4 Ho 3.01, 8 Ga 3.01
Ga: 0.0000 0.5000 0.8328  8 Ga 3.01-3.02, 2 Ho 3.01, 2 Dy 3.02

Computed properties:
DFT formation energy, eV per atom: -0.53
Space-group type: No. 123
Total moment, μB/f.u.: 0.00

# 2
First-principles (PBE) data for a relaxed ScSiI crystal, as listed in Alexandria.

Cell: 4.0061 4.0061 11.5696 Å, 90.21 99.76 120.00°
Closest atoms and distances in Å follow each position.
Fractional positions:
Sc: 0.8990 0.4478 0.3468  6 Si 2.82-2.97, 3 I 3.01
Sc: 0.1010 0.5522 0.6532  6 Si 2.82-2.97, 3 I 3.01
Si: 0.3264 0.1631 0.4894  3 Si 2.33
Si: 0.6736 0.8369 0.5106  3 Si 2.33
I: 0.5466 0.2767 0.8233  3 Sc 3.01
I: 0.4534 0.7233 0.1767  3 Sc 3.01

Computed properties:
ΔE_f (raw), kcal/mol of atoms: -20.01
Space-group type: No. 12
Total moment, μB/f.u.: 0.00

# 3
First-principles (PBE) data for a relaxed Ce2Sb3PtRh4 crystal, as listed in Alexandria.

Cell: 4.1185 4.1185 12.1174 Å, 90.00 90.00 90.00°
Closest atoms and distances in Å follow each position.
Fractional positions:
Ce: 0.5000 0.0000 0.2761  4 Rh 3.01
Ce: 0.0000 0.5000 0.7239  4 Rh 3.01
Sb: 0.0000 0.0000 0.5000  4 Rh 2.83, 4 Pt 2.91
Sb: 0.5000 0.0000 0.8703  5 Rh 2.55-2.59
Sb: 0.0000 0.5000 0.1297  5 Rh 2.55-2.59
Pt: 0.5000 0.5000 0.5000  4 Rh 2.83, 4 Sb 2.91
Rh: 0.5000 0.5000 0.0000  4 Sb 2.59
Rh: 0.0000 0.0000 0.0000  4 Sb 2.59
Rh: 0.5000 0.0000 0.6602  3 Sb 2.55-2.83, 2 Pt 2.83
Rh: 0.0000 0.5000 0.3398  3 Sb 2.55-2.83, 2 Pt 2.83

Computed properties:
ΔE_f (raw), kcal/mol of atoms: -17.66
Space-group type: No. 115
Total moment, μB/f.u.: 0.61

# 4
First-principles (PBE) data for a relaxed Al2AgW crystal, as listed in Alexandria.

Cell: 6.9553 6.9553 5.6874 Å, 52.30 52.30 90.00°
Closest atoms and distances in Å follow each position.
Fractional positions:
Ag: 0.5000 0.5000 0.0000  4 Al 2.50
Ag: 0.2500 0.7500 0.5000  4 Al 2.50
W: 0.0000 0.0000 0.0000  4 Al 2.62, 2 Ag 2.86
W: 0.7500 0.2500 0.5000  4 Al 2.62, 2 Ag 2.86
Al: 0.6122 0.1250 0.2500  2 Ag 2.50, 2 W 2.62
Al: 0.1378 0.6250 0.2500  2 Ag 2.50, 2 W 2.62
Al: 0.3750 0.3878 0.7500  2 Ag 2.50, 2 W 2.62
Al: 0.8750 0.8622 0.7500  2 Ag 2.50, 2 W 2.62

Computed properties:
DFT formation energy, eV per atom: 0.60
Space-group type: No. 122
Total moment, μB/f.u.: 0.00
Offset from the most stable computed form, meV per atom: 586

# 5
First-principles (PBE) data for a relaxed MgNbSb2Te crystal, as listed in Alexandria.

Cell: 5.4289 5.4289 5.3665 Å, 90.00 90.00 90.00°
Closest atoms and distances in Å follow each position.
Fractional positions:
Sb: 0.0000 0.5000 0.0000  2 Nb 2.71
Sb: 0.5000 0.0000 0.0000  2 Nb 2.71
Nb: 0.0000 0.0000 0.0000  2 Te 2.68, 4 Sb 2.71
Te: 0.0000 0.0000 0.5000  2 Nb 2.68
Mg: 0.5000 0.5000 0.5000  8 Sb 3.82, 4 Te 3.84

Computed properties:
ΔE_f (raw), kcal/mol of atoms: 6.17
Space-group type: No. 123
Total moment, μB/f.u.: 0.00
Offset from the most stable computed form, meV per atom: 0

# 6
First-principles (PBE) data for a relaxed Pm3Te12As5 crystal, as listed in Alexandria.

Cell: 15.2721 15.2721 15.2721 Å, 109.47 109.47 109.47°
Closest atoms and distances in Å follow each position.
Fractional positions:
Pm: 0.7500 0.3750 0.1250  8 Te 3.29-3.35
Pm: 0.8750 0.7500 0.1250  8 Te 3.29-3.35
Pm: 0.3750 0.7500 0.6250  8 Te 3.29-3.35
Pm: 0.2500 0.1250 0.3750  8 Te 3.29-3.35
Pm: 0.8750 0.1250 0.2500  8 Te 3.29-3.35
Pm: 0.3750 0.6250 0.2500  8 Te 3.29-3.35
Pm: 0.6250 0.3750 0.7500  8 Te 3.29-3.35
Pm: 0.1250 0.8750 0.7500  8 Te 3.29-3.35
Pm: 0.7500 0.8750 0.6250  8 Te 3.29-3.35
Pm: 0.6250 0.2500 0.3750  8 Te 3.29-3.35
Pm: 0.1250 0.2500 0.8750  8 Te 3.29-3.35
Pm: 0.2500 0.6250 0.8750  8 Te 3.29-3.35
As: 0.1250 0.3750 0.2500  4 Te 2.78
As: 0.0000 0.5000 0.0000  6 Te 2.90
As: 0.0000 0.0000 0.0000  6 Te 2.90
As: 0.3750 0.2500 0.1250  4 Te 2.78
As: 0.5000 0.0000 0.5000  6 Te 2.90
As: 0.5000 0.5000 0.0000  6 Te 2.90
As: 0.1250 0.7500 0.3750  4 Te 2.78
As: 0.7500 0.1250 0.8750  4 Te 2.78
As: 0.7500 0.6250 0.3750  4 Te 2.78
As: 0.3750 0.1250 0.7500  4 Te 2.78
As: 0.6250 0.8750 0.2500  4 Te 2.78
As: 0.5000 0.5000 0.5000  6 Te 2.90
As: 0.5000 0.0000 0.0000  6 Te 2.90
As: 0.0000 0.0000 0.5000  6 Te 2.90
As: 0.2500 0.3750 0.6250  4 Te 2.78
As: 0.2500 0.8750 0.1250  4 Te 2.78
As: 0.0000 0.5000 0.5000  6 Te 2.90
As: 0.8750 0.2500 0.6250  4 Te 2.78
As: 0.6250 0.7500 0.8750  4 Te 2.78
As: 0.8750 0.6250 0.7500  4 Te 2.78
Te: 0.7133 0.1307 0.0425  2 As 2.78-2.90
Te: 0.3293 0.5425 0.4118  2 As 2.78-2.90
Te: 0.9575 0.3693 0.2867  2 As 2.78-2.90
Te: 0.5425 0.2133 0.1307  2 As 2.78-2.90
Te: 0.5826 0.7133 0.6707  2 As 2.78-2.90
Te: 0.9575 0.5882 0.1707  2 As 2.78-2.90
Te: 0.3293 0.7867 0.4174  2 As 2.78-2.90
Te: 0.0882 0.9174 0.1307  2 As 2.78-2.90
Te: 0.5882 0.9575 0.6707  2 As 2.78-2.90
Te: 0.7133 0.5826 0.1707  2 As 2.78-2.90
Te: 0.7867 0.4575 0.3693  2 As 2.78-2.90
Te: 0.8293 0.9118 0.0425  2 As 2.78-2.90
Te: 0.1307 0.7133 0.5425  2 As 2.78-2.90
Te: 0.3693 0.4118 0.0826  2 As 2.78-2.90
Te: 0.0826 0.9118 0.3693  2 As 2.78-2.90
Te: 0.4174 0.1307 0.5882  2 As 2.78-2.90
Te: 0.0826 0.1707 0.2133  2 As 2.78-2.90
Te: 0.4575 0.6707 0.0882  2 As 2.78-2.90
Te: 0.8293 0.9174 0.2867  2 As 2.78-2.90
Te: 0.1307 0.4174 0.0882  2 As 2.78-2.90
Te: 0.3693 0.9575 0.7867  2 As 2.78-2.90
Te: 0.5882 0.6307 0.4174  2 As 2.78-2.90
Te: 0.9118 0.8293 0.5425  2 As 2.78-2.90
Te: 0.7867 0.3293 0.9174  2 As 2.78-2.90
Te: 0.4118 0.3693 0.5826  2 As 2.78-2.90
Te: 0.0882 0.1707 0.4575  2 As 2.78-2.90
Te: 0.2133 0.6707 0.0826  2 As 2.78-2.90
Te: 0.1707 0.0826 0.7133  2 As 2.78-2.90
Te: 0.6307 0.0425 0.2133  2 As 2.78-2.90
Te: 0.8693 0.5826 0.9118  2 As 2.78-2.90
Te: 0.5425 0.3293 0.9118  2 As 2.78-2.90
Te: 0.5826 0.8693 0.4118  2 As 2.78-2.90
Te: 0.9174 0.8293 0.7867  2 As 2.78-2.90
Te: 0.9174 0.0882 0.6307  2 As 2.78-2.90
Te: 0.8693 0.2867 0.4575  2 As 2.78-2.90
Te: 0.1707 0.0882 0.9575  2 As 2.78-2.90
Te: 0.6307 0.5882 0.9174  2 As 2.78-2.90
Te: 0.4118 0.0425 0.3293  2 As 2.78-2.90
Te: 0.2867 0.4174 0.8293  2 As 2.78-2.90
Te: 0.2133 0.5425 0.6307  2 As 2.78-2.90
Te: 0.9118 0.0826 0.8693  2 As 2.78-2.90
Te: 0.6707 0.2133 0.5826  2 As 2.78-2.90
Te: 0.4575 0.7867 0.8693  2 As 2.78-2.90
Te: 0.0425 0.4118 0.8293  2 As 2.78-2.90
Te: 0.4174 0.2867 0.3293  2 As 2.78-2.90
Te: 0.0425 0.6307 0.7133  2 As 2.78-2.90
Te: 0.6707 0.4575 0.5882  2 As 2.78-2.90
Te: 0.2867 0.8693 0.9575  2 As 2.78-2.90

Computed properties:
ΔE_f (raw), kcal/mol of atoms: -9.86
Space-group type: No. 230
Total moment, μB/f.u.: 0.00